Record 1
The following is a DFT calculation (GGA-PBE) of BaSbSe2 after structural relaxation.

The structure in POSCAR format:
```
BaSbSe2
1.0
7.8463 0.0199 -0.0081
5.6473 5.4473 0.0081
-6.7001 -2.8489 2.9253
Ba Sb Se
1 1 2
direct
0.4582 0.4582 0.0000 Ba
0.2156 0.7156 0.5000 Sb
0.0511 0.0511 0.0000 Se
0.7751 0.2751 0.5000 Se
```

Values from the calculation:
As for the uncorrected formation energy: -0.82 eV per atom. The crystal system is orthorhombic. As for the magnetic moment: 0.00 μB per formula unit. For the uncorrected energy, the calculation gives -4.08 eV/atom.


Record 2
The following is a DFT calculation (GGA-PBE) of TaTl3Ag after structural relaxation.

The structure in POSCAR format:
```
TaTl3Ag
1.0
5.4955 0.0000 0.0000
0.0000 5.4955 0.0000
0.0000 0.0000 5.4955
Tl Ag Ta
3 1 1
direct
0.0000 0.5000 0.0000 Tl
0.0000 0.0000 0.5000 Tl
0.5000 0.0000 0.0000 Tl
0.5000 0.5000 0.5000 Ag
0.0000 0.0000 0.0000 Ta
```

Values from the calculation:
The value obtained for the formation energy is 0.890 eV/atom. As for the energy above the lowest structure with this stoichiometry: 0.000 eV/atom. The crystal system is cubic. As for the magnetic moment: 0.00 μB per formula unit. For the uncorrected energy, the calculation gives -3.47 eV/atom.


Record 3
The following is a DFT calculation (GGA-PBE) of YTcOs2 after structural relaxation.

The structure in POSCAR format:
```
YTcOs2
1.0
-2.3400 3.7887 2.0080
-2.9074 -3.8677 0.6708
1.3102 -0.5425 2.5504
Os Tc Y
2 1 1
direct
0.0000 0.0000 0.0000 Os
0.5000 0.5000 0.0000 Os
0.5000 0.0000 0.5000 Tc
0.0000 0.5000 0.5000 Y
```

Values from the calculation:
The value obtained for the formation energy is 0.383 eV/atom. As for the energy above the lowest structure with this stoichiometry: 0.207 eV/atom. The crystal system is orthorhombic. As for the magnetic moment: 0.00 μB per formula unit. For the uncorrected energy, the calculation gives -9.44 eV/atom.


Record 4
The following is a DFT calculation (GGA-PBE) of U3Ge6Rh5 after structural relaxation.

The structure in POSCAR format:
```
U3Ge6Rh5
1.0
-0.9282 1.5192 3.8737
-8.7013 0.2427 -2.1801
-1.4399 -12.0997 4.4002
U Ge Rh
6 12 10
direct
0.0000 0.2560 0.7104 U
0.5000 0.7440 0.2104 U
0.5000 0.7440 0.7896 U
0.0000 0.2505 0.0000 U
0.5000 0.7495 0.5000 U
0.0000 0.2560 0.2896 U
0.0000 0.9720 0.8439 Ge
0.5000 0.0280 0.6561 Ge
0.5000 0.4052 0.8306 Ge
0.5000 0.6096 0.0000 Ge
0.0000 0.3904 0.5000 Ge
0.0000 0.5948 0.6694 Ge
0.0000 0.5948 0.3306 Ge
0.5000 0.9604 0.0000 Ge
0.0000 0.9720 0.1561 Ge
0.5000 0.4052 0.1694 Ge
0.0000 0.0396 0.5000 Ge
0.5000 0.0280 0.3439 Ge
0.0000 0.5334 0.8870 Rh
0.0000 0.8725 0.6544 Rh
0.0000 0.8047 0.0000 Rh
0.5000 0.4666 0.6130 Rh
0.5000 0.1953 0.5000 Rh
0.0000 0.5334 0.1130 Rh
0.5000 0.4666 0.3870 Rh
0.0000 0.8725 0.3456 Rh
0.5000 0.1275 0.8456 Rh
0.5000 0.1275 0.1544 Rh
```

Values from the calculation:
The value obtained for the formation energy is -0.483 eV/atom. The crystal system is orthorhombic. As for the magnetic moment: 5.70 μB per formula unit. For the uncorrected energy, the calculation gives -7.51 eV/atom.


Record 5
The following is a DFT calculation (GGA-PBE) of LaCe2TlOs after structural relaxation.

The structure in POSCAR format:
```
LaCe2TlOs
1.0
5.3290 0.0000 0.0000
0.0000 5.3293 0.0000
0.0000 0.0002 5.7588
La Ce Tl Os
1 2 1 1
direct
0.0000 0.0000 0.5003 La
0.0000 0.5000 0.0001 Ce
0.5000 0.0000 0.0013 Ce
0.5000 0.5000 0.4981 Tl
0.0000 0.0000 0.0002 Os
```

Values from the calculation:
The value obtained for the formation energy is -0.118 eV/atom. The crystal system is tetragonal. As for the magnetic moment: 1.46 μB per formula unit. For the uncorrected energy, the calculation gives -6.20 eV/atom.


Record 6
The following is a DFT calculation (GGA-PBE) of SmSiSe4 after structural relaxation.

The structure in POSCAR format:
```
SmSiSe4
1.0
7.7919 -0.3458 0.0000
-3.6309 6.9029 0.0000
-2.0805 -3.2786 6.7643
Sm Si Se
2 2 8
direct
0.0000 0.0000 0.0000 Sm
0.7500 0.2500 0.5000 Sm
0.2500 0.7500 0.5000 Si
0.5000 0.5000 0.0000 Si
0.2591 0.9410 0.3181 Se
0.6228 0.9410 0.6819 Se
0.6910 0.8728 0.1819 Se
0.4909 0.3090 0.1819 Se
0.6910 0.5091 0.8181 Se
0.0590 0.3772 0.3181 Se
0.1272 0.3090 0.8181 Se
0.0590 0.7409 0.6819 Se
```

Values from the calculation:
As for the uncorrected formation energy: -0.83 eV per atom. The crystal system is tetragonal. As for the magnetic moment: 0.00 μB per formula unit. For the uncorrected energy, the calculation gives -4.84 eV/atom.


Record 7
The following is a DFT calculation (GGA-PBE) of Ce5Pm5Ge6 after structural relaxation.

The structure in POSCAR format:
```
Ce5Pm5Ge6
1.0
6.2832 0.0000 0.0000
0.0000 7.6853 -4.3683
0.0000 -0.0320 8.8400
Ce Pm Ge
5 5 6
direct
0.7811 0.3327 0.6651 Ce
0.7811 0.6651 0.3327 Ce
0.2189 0.6651 0.3327 Ce
0.2189 0.3327 0.6651 Ce
0.0000 0.2578 0.2578 Ce
0.0000 0.7495 0.0004 Pm
0.0000 0.0004 0.7495 Pm
0.5000 0.7409 0.7409 Pm
0.5000 0.2567 0.9995 Pm
0.5000 0.9995 0.2567 Pm
0.0000 0.6200 0.6200 Ge
0.0000 0.3817 0.0006 Ge
0.0000 0.0006 0.3817 Ge
0.5000 0.3857 0.3857 Ge
0.5000 0.6120 0.9993 Ge
0.5000 0.9993 0.6120 Ge
```

Values from the calculation:
The value obtained for the formation energy is -0.676 eV/atom. The crystal system is orthorhombic. As for the magnetic moment: 3.00 μB per formula unit. For the uncorrected energy, the calculation gives -5.75 eV/atom.


Record 8
The following is a DFT calculation (GGA-PBE) of Pr3NdGa after structural relaxation.

The structure in POSCAR format:
```
Pr3NdGa
1.0
7.6909 0.0405 -0.2840
-2.0653 7.4085 0.2840
-3.3461 -3.3217 6.0788
Pr Nd Ga
6 2 2
direct
0.8459 0.0573 0.2821 Pr
0.2248 0.4362 0.2821 Pr
0.7752 0.5638 0.7179 Pr
0.7165 0.4398 0.1563 Pr
0.1541 0.9427 0.7179 Pr
0.2835 0.5602 0.8437 Pr
0.7111 0.0604 0.7716 Nd
0.2889 0.9396 0.2284 Nd
0.6240 0.7505 0.3744 Ga
0.3760 0.2495 0.6256 Ga
```

Values from the calculation:
The value obtained for the formation energy is -0.072 eV/atom. As for the energy above the lowest structure with this stoichiometry: 0.123 eV/atom. The crystal system is monoclinic. As for the magnetic moment: 0.00 μB per formula unit. For the uncorrected energy, the calculation gives -4.50 eV/atom.


Record 9
The following is a DFT calculation (GGA-PBE) of LiAl2Ru after structural relaxation.

The structure in POSCAR format:
```
LiAl2Ru
1.0
4.4862 -0.0139 0.0233
3.5993 2.6778 0.0233
0.7492 0.2468 4.8974
Al Li Ru
2 1 1
direct
0.0133 0.0133 0.9792 Al
0.4867 0.4867 0.5208 Al
0.2500 0.2500 0.2500 Li
0.7500 0.7500 0.7500 Ru
```

Values from the calculation:
The value obtained for the formation energy is -0.223 eV/atom. The crystal system is monoclinic. As for the magnetic moment: 0.00 μB per formula unit. For the uncorrected energy, the calculation gives -4.89 eV/atom.


Record 10
The following is a DFT calculation (GGA-PBE) of TbNd2Y6Sc after structural relaxation.

The structure in POSCAR format:
```
TbNd2Y6Sc
1.0
9.2000 -2.1463 -2.2274
0.7006 8.4584 -1.9221
0.7006 -2.2342 8.3814
Tb Nd Y Sc
2 4 12 2
direct
0.2500 0.9828 0.0172 Tb
0.7500 0.0172 0.9828 Tb
0.4528 0.8026 0.7058 Nd
0.0472 0.2942 0.1974 Nd
0.5472 0.1974 0.2942 Nd
0.9528 0.7058 0.8026 Nd
0.0572 0.1233 0.7441 Y
0.4428 0.2559 0.8767 Y
0.9428 0.8767 0.2559 Y
0.5572 0.7441 0.1233 Y
0.3099 0.9913 0.4286 Y
0.1901 0.5714 0.0087 Y
0.6901 0.0087 0.5714 Y
0.8099 0.4286 0.9913 Y
0.1153 0.7016 0.4945 Y
0.3847 0.5055 0.2984 Y
0.8847 0.2984 0.5055 Y
0.6153 0.4945 0.7016 Y
0.2500 0.4090 0.5910 Sc
0.7500 0.5910 0.4090 Sc
```

Values from the calculation:
The value obtained for the formation energy is 0.119 eV/atom. The crystal system is monoclinic. As for the magnetic moment: 0.00 μB per formula unit. For the uncorrected energy, the calculation gives -5.81 eV/atom.